[1]
Fe2SiP, relaxed, DFT PBE-GGA; formation energy (no corrections) = -296 meV per atom; space-group type = P4/mmm (123); crystal system = tetragonal
1.0
2.748 0.000 0.000
0.000 2.749 0.000
0.000 0.000 5.651
Fe P Si
2 1 1
Direct
0.000 0.000 0.009
0.000 0.000 0.491
0.500 0.500 0.250
0.500 0.500 0.750

=====

[2]
Fe2SiP, relaxed, DFT PBE-GGA; formation energy (no corrections) = 18 meV per atom; space-group type = R3m (160); crystal system = trigonal
1.0
-4.149 -5.712 -2.002
-1.580 -6.873 -2.029
-3.014 -6.679 0.391
Fe P Si
2 1 1
Direct
0.002 0.002 0.002
0.245 0.245 0.245
0.505 0.505 0.505
0.748 0.748 0.748

=====

[3]
FeSi2P, relaxed, DFT PBE-GGA; formation energy (no corrections) = 321 meV per atom; space-group type = I-4m2 (119); crystal system = tetragonal
1.0
4.306 0.061 0.000
0.762 4.239 0.000
-2.534 -2.150 2.739
Fe P Si
1 1 2
Direct
0.500 0.500 0.000
0.750 0.250 0.500
0.000 0.000 0.000
0.250 0.750 0.500

=====

[4]
Fe4SiP2, relaxed, DFT PBE-GGA; formation energy (no corrections) = -62 meV per atom; space-group type = P4_2/mnm (136); crystal system = tetragonal
1.0
6.891 0.000 0.000
0.000 6.891 0.000
0.000 0.000 3.591
P Si Fe
4 2 8
Direct
0.226 0.774 0.000
0.774 0.226 0.000
0.726 0.726 0.500
0.274 0.274 0.500
0.000 0.000 0.500
0.500 0.500 0.000
0.077 0.331 0.000
0.923 0.669 0.000
0.169 0.577 0.500
0.831 0.423 0.500
0.423 0.831 0.500
0.577 0.169 0.500
0.331 0.077 0.000
0.669 0.923 0.000

=====

[5]
FeSiP, relaxed, DFT PBE-GGA; offset from the most stable computed form = 5.4 kJ/mol of formula units; formation energy (no corrections) = -249 meV per atom; space-group type = F-43m (216); crystal system = cubic
1.0
-3.083 -1.563 -1.516
0.186 -1.623 -3.402
-0.252 -3.752 -0.317
Fe P Si
1 1 1
Direct
0.750 0.750 0.750
0.000 0.000 0.000
0.500 0.500 0.500

=====

[6]
FeSi2P, relaxed, DFT PBE-GGA; formation energy (no corrections) = 183 meV per atom; space-group type = C2/m (12); crystal system = monoclinic
1.0
4.297 -0.016 -0.017
3.313 2.735 -0.017
0.508 0.182 4.203
Fe P Si
1 1 2
Direct
0.750 0.750 0.750
0.250 0.250 0.250
0.015 0.015 0.984
0.485 0.485 0.516

=====

[7]
Fe2SiP, relaxed, DFT PBE-GGA; formation energy (no corrections) = -346 meV per atom; space-group type = Imm2 (44); crystal system = orthorhombic
1.0
-2.612 -3.875 2.904
1.617 -3.677 3.760
-0.310 5.160 -1.884
Fe P Si
2 1 1
Direct
0.961 0.961 0.000
0.709 0.209 0.500
0.536 0.536 0.000
0.294 0.794 0.500

=====

[8]
FeSi2P, relaxed, DFT PBE-GGA; formation energy (no corrections) = -6 meV per atom; space-group type = Pm (6); crystal system = monoclinic
1.0
-1.720 2.883 -1.718
-1.633 -2.166 -2.000
-3.841 -1.270 1.715
Fe P Si
1 1 2
Direct
0.000 0.680 0.487
0.500 0.565 0.774
0.000 0.978 0.909
0.500 0.276 0.330

=====

[9]
FeSiP, relaxed, DFT PBE-GGA; offset from the most stable computed form = 9.9 kJ/mol of formula units; formation energy (no corrections) = -234 meV per atom; space-group type = Pnma (62); crystal system = orthorhombic
1.0
-2.840 -0.876 -1.469
4.274 -3.508 -6.173
0.056 -5.158 2.969
P Si Fe
4 4 4
Direct
0.250 0.027 0.259
0.750 0.473 0.759
0.750 0.973 0.741
0.250 0.527 0.241
0.250 0.217 0.548
0.750 0.283 0.048
0.750 0.783 0.452
0.250 0.717 0.952
0.250 0.096 0.904
0.750 0.404 0.404
0.750 0.904 0.096
0.250 0.596 0.596

=====

[10]
Fe2SiP, relaxed, DFT PBE-GGA; formation energy (no corrections) = 318 meV per atom; space-group type = I-42d (122); crystal system = tetragonal
1.0
-1.027 -3.835 -3.490
4.277 1.384 -2.780
4.130 -4.102 -0.712
P Si Fe
2 2 4
Direct
0.000 0.000 0.000
0.750 0.250 0.500
0.500 0.500 0.000
0.250 0.750 0.500
0.642 0.125 0.250
0.108 0.625 0.250
0.375 0.358 0.750
0.875 0.892 0.750

=====

[11]
FeSiP, relaxed, DFT PBE-GGA; offset from the most stable computed form = 20.4 kJ/mol of formula units; formation energy (no corrections) = -198 meV per atom; space-group type = P4/nmm (129); crystal system = tetragonal
1.0
3.924 0.000 0.000
0.000 3.924 0.000
0.000 0.000 4.947
Fe Si P
2 2 2
Direct
0.000 0.000 0.000
0.500 0.500 0.000
0.500 0.000 0.721
0.000 0.500 0.279
0.500 0.000 0.261
0.000 0.500 0.739

=====

[12]
Fe2SiP, relaxed, DFT PBE-GGA; formation energy (no corrections) = -336 meV per atom; space-group type = P4mm (99); crystal system = tetragonal
1.0
-0.183 -1.571 2.616
2.683 1.166 0.888
-2.307 3.727 2.077
Fe P Si
2 1 1
Direct
0.000 0.000 0.958
0.500 0.500 0.293
0.000 0.000 0.472
0.500 0.500 0.777

=====

> The lowest formation energy (no corrections) belongs to which entry?

number 7

=====

> formation energy (no corrections) of number 6 (FeSi2P)?

183 meV per atom